The following is a DFT calculation (PBE) of LiPaAg2Se4 after structural relaxation.

Its crystal system is monoclinic. The value obtained for the uncorrected energy is -37.54 eV per cell. For the total moment, the calculation gives 0.1 μB per cell. As for the formation energy (no corrections): -0.8112 eV per atom.

It has space group P2/m (No. 10), with a = 6.594 Å, b = 4.235 Å, c = 6.935 Å, α = 90.00°, β = 108.37° and γ = 90.00°. The distinct sites, in fractional coordinates, are Li at (0.000, 0.000, 0.000), Pa at (0.000, 0.500, 0.500), Ag at (0.500, 0.000, 0.500), Ag at (0.500, 0.500, 0.000), Se at (0.235, 0.000, 0.744) and Se at (0.241, 0.500, 0.245).